Entry 1:
Compound: LaSc2Rh
Source: Alexandria via LeMat-Bulk
Functional: GGA-PBE
Structure: relaxed

Computed properties:
Density of states at the Fermi level   18.58 states/eV per cell
ρ   5.60 Mg/m³
E_form   -1.92 eV/f.u.
Volume   24.58 Å³ per atom
Magnetic moment   0.0 μB/f.u.

a b c (Å): 7.0571 8.9731 6.2118
angles (deg): 90.00 90.00 90.00
Last column: nearest neighbours and their distance in Å.
Space group Pnma (No. 62)
Inequivalent atoms, fractional coordinates:
La: 0.0377 0.2500 0.1303 [4 per cell]  2 Rh 2.76-3.03
Sc: 0.1742 0.0648 0.6578 [8 per cell]  2 Rh 2.70-2.73
Rh: 0.1200 0.7500 0.4160 [4 per cell]  4 Sc 2.70-2.73, 1 La 2.76



Entry 2:
Compound: Cs2KSe8
Source: Alexandria via LeMat-Bulk
Functional: GGA-PBE
Structure: relaxed

Computed properties:
Density of states at the Fermi level   0.46 states/eV per cell
ρ   3.88 Mg/m³
Volume   36.42 Å³ per atom
Magnetic moment   0.0 μB/f.u.
Energy relative to the elements, uncorrected   -543 meV/atom

a b c (Å): 5.9310 7.3373 10.2800
angles (deg): 97.01 98.22 112.73
Last column: nearest neighbours and their distance in Å.
Space group P-1 (No. 2)
Inequivalent atoms, fractional coordinates:
Cs: 0.1650 0.2332 0.3434 [2 per cell]  8 Se 3.60-3.97
K: 0.0000 0.5000 0.0000 [1 per cell]  6 Se 3.33-3.69
Se: 0.2115 0.4162 0.7255 [2 per cell]  2 Se 2.42-2.44
Se: 0.2140 0.0424 0.9940 [2 per cell]  1 Se 2.39
Se: 0.2287 0.7703 0.3743 [2 per cell]  2 Se 2.42-2.66
Se: 0.4398 0.2117 0.7779 [2 per cell]  2 Se 2.44-2.66



Entry 3:
Compound: Ti2MnInC
Source: Alexandria via LeMat-Bulk
Functional: GGA-PBE
Structure: relaxed

Computed properties:
Density of states at the Fermi level   3.96 states/eV per cell
ρ   6.44 Mg/m³
E_form   -1.69 eV/f.u.
Volume   14.30 Å³ per atom
Magnetic moment   1.7 μB/f.u.

a b c (Å): 4.2718 4.2718 3.9181
angles (deg): 90.00 90.00 90.00
Last column: nearest neighbours and their distance in Å.
Space group P4/mmm (No. 123)
Inequivalent atoms, fractional coordinates:
Ti: 0.0000 0.5000 0.0000 [2 per cell]  2 C 2.14
Mn: 0.0000 0.0000 0.5000 [1 per cell]  2 C 1.96
In: 0.5000 0.5000 0.5000 [1 per cell]  8 Ti 2.90, 4 Mn 3.02
C: 0.0000 0.0000 0.0000 [1 per cell]  2 Mn 1.96, 4 Ti 2.14



Entry 4:
Compound: LiZnTc2N
Source: Alexandria via LeMat-Bulk
Functional: GGA-PBE
Structure: relaxed

Computed properties:
Density of states at the Fermi level   4.70 states/eV per cell
ρ   7.37 Mg/m³
Volume   12.72 Å³ per atom
Magnetic moment   0.0 μB/f.u.
Energy relative to the elements, uncorrected   -78 meV/atom

a b c (Å): 3.9825 3.9825 4.0098
angles (deg): 90.00 90.00 90.00
Last column: nearest neighbours and their distance in Å.
Space group P4/mmm (No. 123)
Inequivalent atoms, fractional coordinates:
Li: 0.0000 0.0000 0.0000 [1 per cell]  2 N 2.00
Zn: 0.5000 0.5000 0.0000 [1 per cell]  4 Li 2.82, 8 Tc 2.83
Tc: 0.0000 0.5000 0.5000 [2 per cell]  2 N 1.99
N: 0.0000 0.0000 0.5000 [1 per cell]  4 Tc 1.99, 2 Li 2.00



Entry 5:
Compound: GaTeP2
Source: Alexandria via LeMat-Bulk
Functional: GGA-PBE
Structure: relaxed

Computed properties:
Density of states at the Fermi level   9.78 states/eV per cell
ρ   5.66 Mg/m³
Volume   19.02 Å³ per atom
Magnetic moment   0.0 μB/f.u.
ΔE to the lowest computed polymorph   0.249 eV/atom
Energy relative to the elements, uncorrected   552 meV/atom

a b c (Å): 6.7261 6.7261 6.7261
angles (deg): 90.00 90.00 90.00
Last column: nearest neighbours and their distance in Å.
Space group Fm-3m (No. 225)
Inequivalent atoms, fractional coordinates:
Ga: 0.0000 0.0000 0.0000 [4 per cell]  8 P 2.91
Te: 0.0000 0.0000 0.5000 [4 per cell]  8 P 2.91
P: 0.2500 0.2500 0.2500 [8 per cell]  4 Te 2.91, 4 Ga 2.91



Entry 6:
Compound: GeIrN
Source: Alexandria via LeMat-Bulk
Functional: GGA-PBE
Structure: relaxed

Computed properties:
Density of states at the Fermi level   2.14 states/eV per cell
ρ   10.03 Mg/m³
Volume   15.39 Å³ per atom
Magnetic moment   0.0 μB/f.u.
ΔE to the lowest computed polymorph   0.324 eV/atom
Energy relative to the elements, uncorrected   581 meV/atom

a b c (Å): 4.9068 2.7163 6.9304
angles (deg): 90.00 90.00 90.00
Last column: nearest neighbours and their distance in Å.
Space group Amm2 (No. 38)
Inequivalent atoms, fractional coordinates:
Ge: 0.0000 0.0000 0.0000 [2 per cell]  2 Ir 2.65, 2 N 2.67, 2 Ge 2.72
Ir: 0.5000 0.0000 0.1462 [2 per cell]  3 N 1.95-2.06
N: 0.5000 0.0000 0.8489 [2 per cell]  3 Ir 1.95-2.06



Entry 7:
Compound: Sr2Al2Hg
Source: Alexandria via LeMat-Bulk
Functional: GGA-PBE
Structure: relaxed

Computed properties:
Density of states at the Fermi level   8.14 states/eV per cell
ρ   4.35 Mg/m³
E_form   0.09 eV/f.u.
Volume   32.85 Å³ per atom
Magnetic moment   0.0 μB/f.u.
ΔE to the lowest computed polymorph   0.130 eV/atom

a b c (Å): 6.4163 6.4163 7.9788
angles (deg): 90.00 90.00 90.00
Last column: nearest neighbours and their distance in Å.
Space group I4/mmm (No. 139)
Inequivalent atoms, fractional coordinates:
Sr: 0.0000 0.5000 0.2500 [4 per cell]  4 Al 3.29
Al: 0.0000 0.0000 0.1568 [4 per cell]  1 Al 2.50, 1 Hg 2.74
Hg: 0.0000 0.0000 0.5000 [2 per cell]  2 Al 2.74



Entry 8:
Compound: CaIr2C2
Source: Alexandria via LeMat-Bulk
Functional: GGA-PBE
Structure: relaxed

Computed properties:
Density of states at the Fermi level   2.95 states/eV per cell
ρ   8.06 Mg/m³
E_form   3.56 eV/f.u.
Volume   18.47 Å³ per atom
Magnetic moment   0.0 μB/f.u.
ΔE to the lowest computed polymorph   0.291 eV/atom

a b c (Å): 7.5117 7.5117 3.2734
angles (deg): 90.00 90.00 90.00
Last column: nearest neighbours and their distance in Å.
Space group P4/mbm (No. 127)
Inequivalent atoms, fractional coordinates:
Ca: 0.0000 0.0000 0.0000 [2 per cell]  4 Ir 3.00, 8 C 3.16, 2 Ca 3.27
Ir: 0.1178 0.3822 0.0000 [4 per cell]  2 C 1.87
C: 0.2026 0.2974 0.5000 [4 per cell]  2 Ir 1.87



Entry 9:
Compound: BaCuS2N
Source: Alexandria via LeMat-Bulk
Functional: GGA-PBE
Structure: relaxed

Computed properties:
Density of states at the Fermi level   13.05 states/eV per cell
ρ   2.97 Mg/m³
Volume   31.21 Å³ per atom
Magnetic moment   0.0 μB/f.u.
ΔE to the lowest computed polymorph   1.561 eV/atom
Energy relative to the elements, uncorrected   1474 meV/atom

a b c (Å): 5.7900 5.7900 4.6555
angles (deg): 90.00 90.00 90.00
Last column: nearest neighbours and their distance in Å.
Space group P4/mmm (No. 123)
Inequivalent atoms, fractional coordinates:
Ba: 0.0000 0.0000 0.0000 [1 per cell]  2 N 2.33
Cu: 0.5000 0.5000 0.5000 [1 per cell]  8 S 3.71, 4 N 4.09
S: 0.0000 0.5000 0.0000 [2 per cell]  2 Ba 2.89
N: 0.0000 0.0000 0.5000 [1 per cell]  2 Ba 2.33



Entry 10:
Compound: La2ErPb
Source: Alexandria via LeMat-Bulk
Functional: GGA-PBE
Structure: relaxed

Computed properties:
Density of states at the Fermi level   3.59 states/eV per cell
ρ   8.22 Mg/m³
E_form   -1.14 eV/f.u.
Volume   32.94 Å³ per atom
Magnetic moment   0.0 μB/f.u.
ΔE to the lowest computed polymorph   0.049 eV/atom

a b c (Å): 4.3959 4.3959 6.8191
angles (deg): 90.00 90.00 90.00
Last column: nearest neighbours and their distance in Å.
Space group P4/mmm (No. 123)
Inequivalent atoms, fractional coordinates:
La: 0.0000 0.0000 0.2316 [2 per cell]  1 La 3.16, 4 Pb 3.49
Er: 0.5000 0.5000 0.5000 [1 per cell]  2 Pb 3.41, 8 La 3.61
Pb: 0.5000 0.5000 0.0000 [1 per cell]  2 Er 3.41, 8 La 3.49



Entry 11:
Compound: Nd3Y2Tm8
Source: Alexandria via LeMat-Bulk
Functional: GGA-PBE
Structure: relaxed

Computed properties:
Density of states at the Fermi level   19.36 states/eV per cell
ρ   7.95 Mg/m³
E_form   0.37 eV/f.u.
Volume   31.53 Å³ per atom
Magnetic moment   0.0 μB/f.u.
ΔE to the lowest computed polymorph   0.000 eV/atom

a b c (Å): 6.1461 6.1492 11.1976
angles (deg): 89.88 79.36 80.40
Last column: nearest neighbours and their distance in Å.
Space group P-1 (No. 2)
Inequivalent atoms, fractional coordinates:
Nd: 0.0000 0.0000 0.0000 [1 per cell]  8 Tm 3.55-3.58, 4 Nd 3.55-3.56
Nd: 0.2309 0.4619 0.0791 [2 per cell]  8 Tm 3.53-3.59, 4 Nd 3.55-3.58
Y: 0.3831 0.7699 0.4619 [2 per cell]  10 Tm 3.50-3.55, 2 Y 3.55-3.56
Tm: 0.0774 0.1535 0.6899 [2 per cell]  7 Tm 3.50-3.55, 3 Y 3.52-3.54, 2 Nd 3.55-3.56
Tm: 0.1523 0.3078 0.3859 [2 per cell]  7 Tm 3.50-3.54, 4 Y 3.52-3.55, 1 Nd 3.53
Tm: 0.3086 0.6143 0.7660 [2 per cell]  2 Y 3.50-3.53, 6 Tm 3.53-3.55, 4 Nd 3.55-3.59
Tm: 0.4624 0.9247 0.1571 [2 per cell]  1 Y 3.51, 6 Tm 3.53-3.60, 5 Nd 3.55-3.59



Entry 12:
Compound: PmEu2Ho
Source: Alexandria via LeMat-Bulk
Functional: GGA-PBE
Structure: relaxed

Computed properties:
Density of states at the Fermi level   19.85 states/eV per cell
ρ   7.08 Mg/m³
E_form   0.62 eV/f.u.
Volume   36.01 Å³ per atom
Magnetic moment   14.5 μB/f.u.
ΔE to the lowest computed polymorph   0.046 eV/atom

a b c (Å): 8.3211 8.3211 8.3211
angles (deg): 90.00 90.00 90.00
Last column: nearest neighbours and their distance in Å.
Space group Fm-3m (No. 225)
Inequivalent atoms, fractional coordinates:
Pm: 0.0000 0.0000 0.0000 [4 per cell]  8 Eu 3.60
Eu: 0.2500 0.2500 0.2500 [8 per cell]  4 Ho 3.60, 4 Pm 3.60
Ho: 0.0000 0.0000 0.5000 [4 per cell]  8 Eu 3.60



Entry 13:
Compound: Mn2CdCl
Source: Alexandria via LeMat-Bulk
Functional: GGA-PBE
Structure: relaxed

Computed properties:
Density of states at the Fermi level   7.05 states/eV per cell
ρ   5.51 Mg/m³
Volume   19.41 Å³ per atom
Magnetic moment   8.6 μB/f.u.
ΔE to the lowest computed polymorph   0.450 eV/atom
Energy relative to the elements, uncorrected   456 meV/atom

a b c (Å): 4.1917 4.1917 8.8368
angles (deg): 90.00 90.00 90.00
Last column: nearest neighbours and their distance in Å.
Space group I4/mmm (No. 139)
Inequivalent atoms, fractional coordinates:
Mn: 0.0000 0.5000 0.2500 [4 per cell]  4 Mn 2.96, 4 Cd 3.05, 4 Cl 3.05
Cd: 0.0000 0.0000 0.0000 [2 per cell]  4 Cl 2.96, 8 Mn 3.05
Cl: 0.0000 0.0000 0.5000 [2 per cell]  4 Cd 2.96, 8 Mn 3.05



Entry 14:
Compound: Hf2Nb2Re
Source: Alexandria via LeMat-Bulk
Functional: GGA-PBE
Structure: relaxed

Computed properties:
Density of states at the Fermi level   10.34 states/eV per cell
ρ   12.87 Mg/m³
E_form   -0.68 eV/f.u.
Volume   18.81 Å³ per atom
Magnetic moment   0.0 μB/f.u.
ΔE to the lowest computed polymorph   0.000 eV/atom

a b c (Å): 3.3546 3.3546 16.7165
angles (deg): 90.00 90.00 90.00
Last column: nearest neighbours and their distance in Å.
Space group I4/mmm (No. 139)
Inequivalent atoms, fractional coordinates:
Hf: 0.0000 0.0000 0.0937 [4 per cell]  4 Re 2.84, 4 Nb 3.06, 1 Hf 3.13
Nb: 0.0000 0.0000 0.2910 [4 per cell]  4 Nb 2.74, 4 Hf 3.06
Re: 0.0000 0.0000 0.5000 [2 per cell]  8 Hf 2.84



Entry 15:
Compound: CePm2NdAs4
Source: Alexandria via LeMat-Bulk
Functional: GGA-PBE
Structure: relaxed

Computed properties:
Density of states at the Fermi level   6.43 states/eV per cell
ρ   6.73 Mg/m³
E_form   -12.03 eV/f.u.
Volume   26.95 Å³ per atom
Magnetic moment   0.6 μB/f.u.

a b c (Å): 7.3420 4.2403 7.3437
angles (deg): 90.00 109.42 90.00
Last column: nearest neighbours and their distance in Å.
Space group P2/m (No. 10)
Inequivalent atoms, fractional coordinates:
Ce: 0.0000 0.0000 0.0000 [1 per cell]  6 As 2.97-2.98
Pm: 0.5000 0.0000 0.5000 [1 per cell]  6 As 3.02
Pm: 0.5000 0.5000 0.0000 [1 per cell]  6 As 2.99
Nd: 0.0000 0.5000 0.5000 [1 per cell]  6 As 3.01
As: 0.2479 0.5000 0.2465 [2 per cell]  2 Ce 2.98, 3 Pm 2.99-3.02, 1 Nd 3.01
As: 0.2493 0.0000 0.7534 [2 per cell]  1 Ce 2.97, 3 Pm 2.99-3.02, 2 Nd 3.01



Entry 16:
Compound: LiOsS2
Source: Alexandria via LeMat-Bulk
Functional: GGA-PBE
Structure: relaxed

Computed properties:
Density of states at the Fermi level   7.21 states/eV per cell
ρ   5.46 Mg/m³
Volume   19.85 Å³ per atom
Magnetic moment   0.0 μB/f.u.
Energy relative to the elements, uncorrected   -368 meV/atom

a b c (Å): 5.5376 5.5376 10.3597
angles (deg): 90.00 90.00 90.00
Last column: nearest neighbours and their distance in Å.
Space group I-42d (No. 122)
Inequivalent atoms, fractional coordinates:
Li: 0.0000 0.0000 0.0000 [4 per cell]  4 S 2.46
Os: 0.0000 0.0000 0.5000 [4 per cell]  4 S 2.24
S: 0.2162 0.2500 0.6250 [8 per cell]  2 Os 2.24, 2 Li 2.46



Entry 17:
Compound: BaScCo2
Source: Alexandria via LeMat-Bulk
Functional: GGA-PBE
Structure: relaxed

Computed properties:
Density of states at the Fermi level   12.24 states/eV per cell
ρ   6.22 Mg/m³
E_form   2.82 eV/f.u.
Volume   20.04 Å³ per atom
Magnetic moment   1.5 μB/f.u.
ΔE to the lowest computed polymorph   0.623 eV/atom

a b c (Å): 3.9865 3.9865 10.0855
angles (deg): 90.00 90.00 90.00
Last column: nearest neighbours and their distance in Å.
Space group I-4m2 (No. 119)
Inequivalent atoms, fractional coordinates:
Ba: 0.0000 0.0000 0.0000 [2 per cell]  4 Co 2.82
Sc: 0.0000 0.5000 0.2500 [2 per cell]  4 Co 2.82
Co: 0.0000 0.0000 0.5000 [2 per cell]  4 Ba 2.82
Co: 0.0000 0.5000 0.7500 [2 per cell]  4 Sc 2.82



Entry 18:
Compound: CeYInRu
Source: Alexandria via LeMat-Bulk
Functional: GGA-PBE
Structure: relaxed

Computed properties:
Density of states at the Fermi level   24.27 states/eV per cell
ρ   7.75 Mg/m³
E_form   -0.95 eV/f.u.
Volume   23.82 Å³ per atom
Magnetic moment   0.5 μB/f.u.
ΔE to the lowest computed polymorph   0.183 eV/atom

a b c (Å): 7.2501 7.2501 7.2501
angles (deg): 90.00 90.00 90.00
Last column: nearest neighbours and their distance in Å.
Space group F-43m (No. 216)
Inequivalent atoms, fractional coordinates:
Ce: 0.0000 0.0000 0.0000 [4 per cell]  4 In 3.14, 4 Ru 3.14
Y: 0.0000 0.0000 0.5000 [4 per cell]  4 In 3.14, 4 Ru 3.14
In: 0.2500 0.2500 0.7500 [4 per cell]  4 Ce 3.14, 4 Y 3.14
Ru: 0.2500 0.2500 0.2500 [4 per cell]  4 Ce 3.14, 4 Y 3.14



Entry 19:
Compound: AcMnTe3
Source: Alexandria via LeMat-Bulk
Functional: GGA-PBE
Structure: relaxed

Computed properties:
Density of states at the Fermi level   1.85 states/eV per cell
ρ   7.21 Mg/m³
Volume   30.61 Å³ per atom
Magnetic moment   4.0 μB/f.u.
ΔE to the lowest computed polymorph   0.232 eV/atom
Energy relative to the elements, uncorrected   -654 meV/atom

a b c (Å): 5.3493 5.3493 5.3493
angles (deg): 90.00 90.00 90.00
Last column: nearest neighbours and their distance in Å.
Space group Pm-3m (No. 221)
Inequivalent atoms, fractional coordinates:
Ac: 0.0000 0.0000 0.0000 [1 per cell]  12 Te 3.78
Mn: 0.5000 0.5000 0.5000 [1 per cell]  6 Te 2.67
Te: 0.0000 0.5000 0.5000 [3 per cell]  2 Mn 2.67



Entry 20:
Compound: Cd2RuPt
Source: Alexandria via LeMat-Bulk
Functional: GGA-PBE
Structure: relaxed

Computed properties:
Density of states at the Fermi level   3.19 states/eV per cell
ρ   12.44 Mg/m³
E_form   0.20 eV/f.u.
Volume   17.38 Å³ per atom
Magnetic moment   0.3 μB/f.u.

a b c (Å): 10.6953 2.8410 5.0630
angles (deg): 90.00 115.31 90.00
Last column: nearest neighbours and their distance in Å.
Space group Cm (No. 8)
Inequivalent atoms, fractional coordinates:
Cd: 0.0000 0.0000 0.0000 [2 per cell]  5 Cd 2.84-3.13, 4 Pt 2.86-2.98, 3 Ru 2.90-2.91
Cd: 0.2236 0.0000 0.5930 [2 per cell]  5 Cd 2.84-3.13, 4 Ru 2.85-2.98, 3 Pt 2.89-2.92
Ru: 0.2530 0.5000 0.1044 [2 per cell]  2 Pt 2.68, 2 Ru 2.84, 7 Cd 2.85-2.98
Pt: 0.4675 0.0000 0.4833 [2 per cell]  2 Ru 2.68, 2 Pt 2.84, 7 Cd 2.86-2.98